(a)
A plane-wave DFT calculation with PBE was carried out for crystalline BaZrSc2 at its relaxed geometry.

Geometry as extended XYZ:
```
4
Lattice="-4.1892 3.7085 3.6657 -0.0496 -0.7065 6.6511 3.2622 1.6424 -5.6036" Properties=species:S:1:pos:R:3 pbc="T T T"
Ba -1.5232 3.4260 1.6103
Sc -0.1157 0.0820 0.2817
Sc -2.0037 1.4190 4.8767
Zr 0.5466 1.2185 3.1030
```

Properties
SG ... Immm, No. 71
D(E_F) ... 5.9 states/eV per cell
Calculated volume ... 29.2 A^3/atom

---

(b)
A plane-wave DFT calculation with PBE was carried out for crystalline BaZrSc2 at its relaxed geometry.

Geometry as extended XYZ:
```
4
Lattice="-2.6681 -1.6961 4.7331 4.2517 -0.0186 3.7843 -1.5086 4.2793 -3.4365" Properties=species:S:1:pos:R:3 pbc="T T T"
Ba -1.6925 0.8629 2.7776
Sc 0.0000 0.0000 0.0000
Sc 0.7918 -0.8573 4.2587
Zr 1.7674 1.7017 2.3032
```

Properties
SG ... I4/mmm, No. 139
D(E_F) ... 6.1 states/eV per cell
Calculated volume ... 28.5 A^3/atom

---

Most stable one: (b), least stable one: (a).

---

(a)
A plane-wave DFT calculation with PBE was carried out for crystalline BaZrSc2 at its relaxed geometry.

Geometry as extended XYZ:
```
4
Lattice="-2.0458 -1.4255 2.2739 -1.9041 -1.2455 -2.4922 5.8302 -8.6094 -0.1518" Properties=species:S:1:pos:R:3 pbc="T T T"
Ba 2.3688 -7.7500 -0.2223
Sc 0.2544 -0.3757 -0.0066
Sc -0.4675 -3.5617 -0.1484
Zr 2.6395 -3.8978 -0.0687
```

Properties
SG ... P4mm, No. 99
D(E_F) ... 6.3 states/eV per cell
Calculated volume ... 29.6 A^3/atom

---

(b)
A plane-wave DFT calculation with PBE was carried out for crystalline BaZrSc2 at its relaxed geometry.

Geometry as extended XYZ:
```
4
Lattice="-3.2956 -1.8860 3.9130 -5.3201 1.1888 -0.1090 -3.6408 -3.8941 -1.1445" Properties=species:S:1:pos:R:3 pbc="T T T"
Sc -3.0641 -1.1478 0.6649
Sc -9.1924 -3.4435 1.9946
Ba -6.1283 -2.2956 1.3298
Zr 0.0000 0.0000 0.0000
```

Properties
SG ... Fm-3m, No. 225
D(E_F) ... 7.6 states/eV per cell
Calculated volume ... 28.7 A^3/atom

---

Most stable one: (a), least stable one: (b).

---

(a)
A plane-wave DFT calculation with PBE was carried out for crystalline BaZrSc2 at its relaxed geometry.

Geometry as extended XYZ:
```
4
Lattice="5.7128 -0.0028 -0.0061 4.7528 3.1697 -0.0061 0.5728 0.1733 6.5717" Properties=species:S:1:pos:R:3 pbc="T T T"
Ba 8.3022 2.5123 4.9197
Sc 10.4305 3.1563 0.3082
Sc 2.7191 0.8228 1.7415
Zr 5.5715 1.6859 2.8579
```

Properties
SG ... Cm, No. 8
D(E_F) ... 6.2 states/eV per cell
Calculated volume ... 29.8 A^3/atom

---

(b)
A plane-wave DFT calculation with PBE was carried out for crystalline BaZrSc2 at its relaxed geometry.

Geometry as extended XYZ:
```
4
Lattice="11.4894 -0.0025 -0.0015 10.9792 3.3858 -0.0015 10.9792 1.6532 2.9547" Properties=species:S:1:pos:R:3 pbc="T T T"
Ba 25.0859 3.7774 2.2138
Sc 33.0794 4.9810 2.9192
Sc 17.0924 2.5737 1.5084
Zr 8.3620 1.2591 0.7379
```

Properties
SG ... R-3m, No. 166
D(E_F) ... 5.3 states/eV per cell
Calculated volume ... 28.8 A^3/atom

---

(c)
A plane-wave DFT calculation with PBE was carried out for crystalline BaZrSc2 at its relaxed geometry.

Geometry as extended XYZ:
```
4
Lattice="-0.4279 -2.0417 3.2491 3.4168 -1.6906 -0.6124 3.7632 6.0492 4.2969" Properties=species:S:1:pos:R:3 pbc="T T T"
Ba 4.3168 2.6708 4.5410
Sc 0.2533 0.4072 0.2892
Sc 1.6283 2.6174 1.8592
Zr 2.4353 -0.3538 2.3926
```

Properties
SG ... P4/mmm, No. 123
D(E_F) ... 7.9 states/eV per cell
Calculated volume ... 31.0 A^3/atom

---

Most stable one: (c), least stable one: (a).

---

(a)
A plane-wave DFT calculation with PBE was carried out for crystalline BaZrSc at its relaxed geometry.

Geometry as extended XYZ:
```
3
Lattice="-3.3371 -0.7072 0.5990 2.4194 -2.3946 0.6386 0.8289 3.0193 8.1823" Properties=species:S:1:pos:R:3 pbc="T T T"
Ba 0.8241 3.0020 8.1353
Sc 0.8056 -0.7209 3.6369
Zr -0.8897 0.6557 5.8299
```

Properties
SG ... P3m1, No. 156
D(E_F) ... 3.0 states/eV per cell
Calculated volume ... 30.3 A^3/atom

---

(b)
A plane-wave DFT calculation with PBE was carried out for crystalline BaZrSc at its relaxed geometry.

Geometry as extended XYZ:
```
3
Lattice="5.6373 0.0000 0.0000 -2.8187 4.8821 0.0000 0.0000 0.0000 3.1769" Properties=species:S:1:pos:R:3 pbc="T T T"
Ba 0.0000 0.0000 0.5270
Sc 2.8187 1.6274 0.5314
Zr 0.0000 3.2547 2.1184
```

Properties
SG ... P-6m2, No. 187
D(E_F) ... 5.1 states/eV per cell
Calculated volume ... 29.1 A^3/atom

---

(c)
A plane-wave DFT calculation with PBE was carried out for crystalline BaZrSc at its relaxed geometry.

Geometry as extended XYZ:
```
3
Lattice="6.7311 0.0132 -0.0076 4.3390 5.1460 0.0076 -5.2586 -3.1727 2.7548" Properties=species:S:1:pos:R:3 pbc="T T T"
Ba 0.0057 0.0026 0.0000
Sc 3.3522 1.5623 0.0000
Zr 7.7122 3.5942 0.0000
```

Properties
SG ... Imm2, No. 44
D(E_F) ... 5.2 states/eV per cell
Calculated volume ... 31.8 A^3/atom

---

(d)
A plane-wave DFT calculation with PBE was carried out for crystalline BaZrSc at its relaxed geometry.

Geometry as extended XYZ:
```
3
Lattice="-6.2264 4.8174 3.2001 -7.8495 1.8898 2.6487 0.2071 -0.7324 3.3061" Properties=species:S:1:pos:R:3 pbc="T T T"
Ba 0.1567 -0.7062 3.3150
Sc -4.2132 1.5700 4.0930
Zr -9.6053 4.3785 5.0529
```

Properties
SG ... I4mm, No. 107
D(E_F) ... 4.7 states/eV per cell
Calculated volume ... 31.3 A^3/atom

---

Most stable one: (d), least stable one: (b).